Entry 1:
# Pm2HoPt3 PBE optimized geometry
# - Formation enthalpy at 0 K: -6.52 eV/f.u.
# - Total magnetic moment: 0.00 μB per formula unit
# - Raw total energy: -6.454 eV per atom
data_Pm2HoPt3
_symmetry_space_group_name_H-M 'I m m m'
_symmetry_Int_Tables_number 71
_symmetry_space_group_name_Hall '-I 2 2'
_cell_length_a 4.147
_cell_length_b 5.836
_cell_length_c 12.354
_cell_angle_alpha 90.00
_cell_angle_beta 90.00
_cell_angle_gamma 90.00
loop_
_atom_site_label
_atom_site_fract_x
_atom_site_fract_y
_atom_site_fract_z
_atom_site_occupancy
Pm1 0.000 0.000 0.168 1
Ho1 0.000 0.000 0.500 1
Pt1 0.000 0.500 0.161 1
Pt2 0.000 0.500 0.500 1



Entry 2:
# Y2PdPtC PBE optimized geometry
# - Formation enthalpy at 0 K: -3.34 eV/f.u.
# - Total magnetic moment: 0.00 μB per formula unit
# - Raw total energy: -7.346 eV per atom
data_Y2PdPtC
_symmetry_space_group_name_H-M 'P 4/m m m'
_symmetry_Int_Tables_number 123
_symmetry_space_group_name_Hall '-P 4 2'
_cell_length_a 4.996
_cell_length_b 4.996
_cell_length_c 3.894
_cell_angle_alpha 90.00
_cell_angle_beta 90.00
_cell_angle_gamma 90.00
loop_
_atom_site_label
_atom_site_fract_x
_atom_site_fract_y
_atom_site_fract_z
_atom_site_occupancy
Y1 0.000 0.500 0.000 1
Pd1 0.000 0.000 0.500 1
Pt1 0.500 0.500 0.500 1
C1 0.500 0.500 0.000 1



Copy entry 1 word for word.
# Pm2HoPt3 PBE optimized geometry
# - Formation enthalpy at 0 K: -6.52 eV/f.u.
# - Total magnetic moment: 0.00 μB per formula unit
# - Raw total energy: -6.454 eV per atom
data_Pm2HoPt3
_symmetry_space_group_name_H-M 'I m m m'
_symmetry_Int_Tables_number 71
_symmetry_space_group_name_Hall '-I 2 2'
_cell_length_a 4.147
_cell_length_b 5.836
_cell_length_c 12.354
_cell_angle_alpha 90.00
_cell_angle_beta 90.00
_cell_angle_gamma 90.00
loop_
_atom_site_label
_atom_site_fract_x
_atom_site_fract_y
_atom_site_fract_z
_atom_site_occupancy
Pm1 0.000 0.000 0.168 1
Ho1 0.000 0.000 0.500 1
Pt1 0.000 0.500 0.161 1
Pt2 0.000 0.500 0.500 1



What did the second record say?
# Y2PdPtC PBE optimized geometry
# - Formation enthalpy at 0 K: -3.34 eV/f.u.
# - Total magnetic moment: 0.00 μB per formula unit
# - Raw total energy: -7.346 eV per atom
data_Y2PdPtC
_symmetry_space_group_name_H-M 'P 4/m m m'
_symmetry_Int_Tables_number 123
_symmetry_space_group_name_Hall '-P 4 2'
_cell_length_a 4.996
_cell_length_b 4.996
_cell_length_c 3.894
_cell_angle_alpha 90.00
_cell_angle_beta 90.00
_cell_angle_gamma 90.00
loop_
_atom_site_label
_atom_site_fract_x
_atom_site_fract_y
_atom_site_fract_z
_atom_site_occupancy
Y1 0.000 0.500 0.000 1
Pd1 0.000 0.000 0.500 1
Pt1 0.500 0.500 0.500 1
C1 0.500 0.500 0.000 1



Which of these has the lowest raw total energy? Y2PdPtC